(1)
LaScTi2Os after structural relaxation, computed with GGA-PBEsol.

Structure (POSCAR):
```
LaScTi2Os
1.0
-2.168 0.687 3.778
-1.639 -4.089 -0.197
4.163 -1.800 2.716
Sc Ti Os La
1 2 1 1
Cartesian
0.000 0.000 0.000
-0.820 -2.044 -0.099
-1.084 0.344 1.889
0.178 -2.601 3.149
2.081 -0.900 1.358
```

Output
Total energy, eV/cell: -33.30
Energy of formation from the pure elements, eV per atom: 1.50
Total magnetization, μB per cell: 0.0

(2)
LaOsSe after structural relaxation, computed with GGA-PBEsol.

Structure (POSCAR):
```
LaOsSe
1.0
4.580 0.000 0.000
2.290 3.966 0.000
2.290 1.322 3.739
La Os Se
1 1 1
Cartesian
0.000 0.000 0.000
4.580 2.644 1.870
2.290 1.322 0.935
```

Output
Total energy, eV/cell: -20.78
Energy above the lowest structure with this stoichiometry, meV/atom: 0
Total magnetization, μB per cell: 0.5

(3)
LaOs2Se after structural relaxation, computed with GGA-PBEsol.

Structure (POSCAR):
```
LaOs2Se
1.0
4.693 0.000 0.000
2.347 4.064 0.000
2.347 1.355 3.832
La Os Se
1 2 1
Cartesian
4.693 2.710 1.916
0.000 0.000 0.000
7.040 4.064 2.874
2.347 1.355 0.958
```

Output
Total energy, eV/cell: -31.10
Total magnetization, μB per cell: 0.0

(4)
La2OsSe after structural relaxation, computed with GGA-PBEsol.

Structure (POSCAR):
```
La2OsSe
1.0
3.541 0.000 0.000
0.000 3.541 0.000
0.000 0.000 7.499
La Os Se
2 1 1
Cartesian
0.000 0.000 5.748
0.000 0.000 1.752
1.771 1.771 0.000
1.771 1.771 3.750
```

Output
Total energy, eV/cell: -29.97
Total magnetization, μB per cell: 0.0

(5)
LaOsSe after structural relaxation, computed with GGA-PBEsol.

Structure (POSCAR):
```
LaOsSe
1.0
4.762 0.000 0.000
2.381 4.124 0.000
2.381 1.375 3.888
La Os Se
1 1 1
Cartesian
2.381 1.375 0.972
0.000 0.000 0.000
4.762 2.750 1.944
```

Output
Total energy, eV/cell: -19.33
Energy above the lowest structure with this stoichiometry, meV/atom: 483
Total magnetization, μB per cell: 0.0

(6)
LaOs2Se after structural relaxation, computed with GGA-PBEsol.

Structure (POSCAR):
```
LaOs2Se
1.0
-1.373 -3.384 -1.520
-0.336 -1.500 3.644
-4.428 1.671 0.279
La Os Se
1 2 1
Cartesian
-2.214 0.835 0.140
-0.168 -0.750 1.822
-0.686 -1.692 -0.760
-3.068 -1.606 1.202
```

Output
Total energy, eV/cell: -31.96
Total magnetization, μB per cell: 0.0

(7)
LaOs2Se after structural relaxation, computed with GGA-PBEsol.

Structure (POSCAR):
```
LaOs2Se
1.0
2.966 0.000 0.000
1.483 2.569 0.000
1.483 0.856 9.186
La Os Se
1 2 1
Cartesian
0.000 0.000 0.000
1.483 0.856 2.669
4.449 2.569 6.517
2.966 1.712 4.593
```

Output
Total energy, eV/cell: -30.73
Total magnetization, μB per cell: 0.0

(8)
LaOs2Se after structural relaxation, computed with GGA-PBEsol.

Structure (POSCAR):
```
LaOs2Se
1.0
3.875 0.000 0.000
0.000 3.875 0.000
-1.937 -1.937 5.090
La Os Se
1 2 1
Cartesian
0.000 0.000 0.000
1.937 0.000 2.545
0.000 1.937 2.545
1.937 1.937 0.000
```

Output
Total energy, eV/cell: -31.93
Total magnetization, μB per cell: 0.0

(9)
La2OsSe after structural relaxation, computed with GGA-PBEsol.

Structure (POSCAR):
```
La2OsSe
1.0
-2.027 -1.100 2.980
0.432 -4.532 -1.379
5.598 0.090 1.458
La Os Se
2 1 1
Cartesian
3.278 -0.899 3.982
1.027 -2.918 1.707
1.935 -0.113 0.977
4.131 -2.578 1.561
```

Output
Total energy, eV/cell: -29.90
Total magnetization, μB per cell: 0.0

(10)
La2ZrOsSe after structural relaxation, computed with GGA-PBEsol.

Structure (POSCAR):
```
La2ZrOsSe
1.0
-4.452 0.935 -1.856
-1.651 -5.133 1.375
-1.677 1.870 4.965
Os Se Zr La
1 1 1 2
Cartesian
0.000 0.000 0.000
-3.890 -1.164 2.242
-2.226 0.467 -0.928
-0.839 0.935 2.483
-0.826 -2.566 0.688
```

Output
Total energy, eV/cell: -36.49
Total magnetization, μB per cell: 0.0

(11)
LaSi3Os after structural relaxation, computed with GGA-PBEsol.

Structure (POSCAR):
```
LaSi3Os
1.0
-3.938 -1.503 -2.951
-2.585 -1.472 4.198
-2.070 4.696 0.372
Si Os La
3 1 1
Cartesian
-1.292 -0.736 2.099
-1.035 2.348 0.186
-1.969 -0.751 -1.476
-4.296 0.860 0.809
0.000 0.000 0.000
```

Output
Total energy, eV/cell: -22.03
Total magnetization, μB per cell: 2.2

(12)
LaSi2Os after structural relaxation, computed with GGA-PBEsol.

Structure (POSCAR):
```
LaSi2Os
1.0
3.016 0.000 0.000
1.508 5.376 0.051
1.508 2.443 4.789
La Os Si
1 1 2
Cartesian
1.508 0.000 0.000
1.508 3.909 2.420
3.016 5.514 3.414
3.016 2.304 1.427
```

Output
Total energy, eV/cell: -29.57
Total magnetization, μB per cell: 0.0

The highest total magnetization belongs to which entry? LaSi3Os